BaWO4 | Alexandria | GGA+U | optimized geometry; uncorrected energy = -7.257 eV per atom; distance to the lowest polymorph of the same formula = 0.31 eV per formula unit; size of the total moment = 0.000 μB per atom; space group = P2_1/m
1.0
4.159 0.000 0.000
0.000 5.933 0.000
-1.988 0.000 7.584
Ba W O
2 2 8
direct
0.175 0.250 0.322
0.825 0.750 0.678
0.358 0.250 0.823
0.642 0.750 0.177
0.081 0.750 0.162
0.318 0.030 0.649
0.318 0.470 0.649
0.500 0.000 0.000
0.500 0.500 0.000
0.682 0.530 0.351
0.682 0.970 0.351
0.919 0.250 0.838